DFT (PBE-GGA) results for a relaxed RbMgCuF6 crystal.

Unit cell a=7.2573 b=7.2573 c=7.2573 alpha=120.62 beta=119.05 gamma=90.29
Last column: nearest neighbours and their distance in Å.
Atoms (fractional coordinates):
Rb: 0.3659 0.1159 0.2500  5 F 2.97-3.09
Rb: 0.6341 0.8841 0.7500  5 F 2.97-3.09
Mg: 0.0000 0.0000 0.5000  6 F 1.96-2.03
Mg: 0.0000 0.5000 0.0000  6 F 1.96-2.03
Cu: 0.0000 0.5000 0.5000  6 F 1.91-1.92
Cu: 0.5000 0.5000 0.0000  6 F 1.91-1.92
F: 0.0755 0.8255 0.2500  2 Mg 1.96
F: 0.0828 0.4339 0.2659  1 Cu 1.91, 1 Mg 2.03
F: 0.0828 0.8170 0.6489  1 Cu 1.91, 1 Mg 2.03
F: 0.3040 0.5540 0.7500  2 Cu 1.92
F: 0.3320 0.1830 0.7659  1 Cu 1.91, 1 Mg 2.03
F: 0.3320 0.5661 0.1489  1 Cu 1.91, 1 Mg 2.03
F: 0.6680 0.4339 0.8511  1 Cu 1.91, 1 Mg 2.03
F: 0.6680 0.8170 0.2341  1 Cu 1.91, 1 Mg 2.03
F: 0.6960 0.4460 0.2500  2 Cu 1.92
F: 0.9172 0.1830 0.3511  1 Cu 1.91, 1 Mg 2.03
F: 0.9172 0.5661 0.7341  1 Cu 1.91, 1 Mg 2.03
F: 0.9245 0.1745 0.7500  2 Mg 1.96

**Total magnetic moment**: 2.5 Bohr magnetons per cell
**Energy relative to the elements, uncorrected**: -2.456 eV/atom
**ρ**: 3.5 g cm⁻³